[1]
DFT (PBE) results for a relaxed structure of LiAl3Re.

Cell and atoms, written as POSCAR:
```
LiAl3Re
1.0
-0.473 1.485 4.553
-4.788 -0.188 -0.436
0.043 -4.573 1.496
Re Al Li
1 3 1
direct
0.000 0.000 0.000 Re
0.000 0.500 0.000 Al
0.000 0.000 0.500 Al
0.500 0.000 0.000 Al
0.500 0.500 0.500 Li
```

Results
- formation enthalpy at 0 K (eV per formula unit) = 0.61
- calculated total energy (eV per atom) = -4.995
- distance to the lowest polymorph of the same formula (meV per atom) = 277.4
- total moment (μB/atom) = 0.0000


[2]
DFT (PBE) results for a relaxed structure of Li4AlRe.

Cell and atoms, written as POSCAR:
```
Li4AlRe
1.0
-0.916 1.662 4.425
-0.226 4.744 0.791
-4.234 2.081 0.961
Li Al Re
4 1 1
direct
0.872 0.376 0.376 Li
0.376 0.376 0.872 Li
0.376 0.872 0.376 Li
0.376 0.376 0.376 Li
0.000 0.000 0.000 Al
0.750 0.750 0.750 Re
```

Results
- formation enthalpy at 0 K (eV per formula unit) = 2.08
- calculated total energy (eV per atom) = -3.627
- total moment (μB/atom) = 0.0000


[3]
DFT (PBE) results for a relaxed structure of LiAl2Re.

Cell and atoms, written as POSCAR:
```
LiAl2Re
1.0
2.729 -0.033 0.000
-0.846 2.594 0.000
0.000 0.000 8.783
Al Li Re
2 1 1
direct
0.000 0.000 0.989 Al
0.000 0.000 0.511 Al
0.500 0.500 0.250 Li
0.500 0.500 0.750 Re
```

Results
- formation enthalpy at 0 K (eV per formula unit) = -0.23
- calculated total energy (eV per atom) = -5.519
- total moment (μB/atom) = 0.0000


What did the first record say?
DFT (PBE) results for a relaxed structure of LiAl3Re.

Cell and atoms, written as POSCAR:
```
LiAl3Re
1.0
-0.473 1.485 4.553
-4.788 -0.188 -0.436
0.043 -4.573 1.496
Re Al Li
1 3 1
direct
0.000 0.000 0.000 Re
0.000 0.500 0.000 Al
0.000 0.000 0.500 Al
0.500 0.000 0.000 Al
0.500 0.500 0.500 Li
```

Results
- formation enthalpy at 0 K (eV per formula unit) = 0.61
- calculated total energy (eV per atom) = -4.995
- distance to the lowest polymorph of the same formula (meV per atom) = 277.4
- total moment (μB/atom) = 0.0000